Below is a relaxed ErLuRuPt crystal, with properties calculated at the GGA-PBE level.

a = 6.7810 Å, b = 6.7810 Å, c = 6.7810 Å
α = 90.00°, β = 90.00°, γ = 90.00°
Closest atoms and distances in Å follow each position.
Element x y z (fractional)
Er 0.0000 0.0000 0.0000  4 Ru 2.94, 4 Pt 2.94
Er 0.0000 0.5000 0.5000  4 Ru 2.94, 4 Pt 2.94
Er 0.5000 0.0000 0.5000  4 Ru 2.94, 4 Pt 2.94
Er 0.5000 0.5000 0.0000  4 Ru 2.94, 4 Pt 2.94
Lu 0.0000 0.0000 0.5000  4 Pt 2.94, 4 Ru 2.94
Lu 0.0000 0.5000 0.0000  4 Pt 2.94, 4 Ru 2.94
Lu 0.5000 0.0000 0.0000  4 Pt 2.94, 4 Ru 2.94
Lu 0.5000 0.5000 0.5000  4 Pt 2.94, 4 Ru 2.94
Ru 0.2500 0.2500 0.7500  4 Er 2.94, 4 Lu 2.94
Ru 0.2500 0.7500 0.2500  4 Er 2.94, 4 Lu 2.94
Ru 0.7500 0.2500 0.2500  4 Er 2.94, 4 Lu 2.94
Ru 0.7500 0.7500 0.7500  4 Lu 2.94, 4 Er 2.94
Pt 0.2500 0.2500 0.2500  4 Er 2.94, 4 Lu 2.94
Pt 0.2500 0.7500 0.7500  4 Er 2.94, 4 Lu 2.94
Pt 0.7500 0.2500 0.7500  4 Er 2.94, 4 Lu 2.94
Pt 0.7500 0.7500 0.2500  4 Er 2.94, 4 Lu 2.94

## Properties
Total moment = 0.000 μB per atom
Energy of formation = -882 meV/atom
Raw total energy = -6.98 eV per atom
Fermi-level density of states = 2.10 states/eV/f.u.